Record 1
DFT (PBE-GGA) results for SrRe2Te after structural relaxation.

Calculated values
Fermi-level density of states: 3.2 states/eV/cell
crystal system: orthorhombic

a b c (Å): 3.523 4.558 5.188
angles (deg): 90.00 90.00 90.00
Fractional coordinates of all 4 atoms:
Re 0.000 0.000 0.000
Te 0.000 0.500 0.500
Re 0.500 0.500 0.000
Sr 0.500 0.000 0.500

Record 2
DFT (PBE-GGA) results for Dy2YSbO8 after structural relaxation.

Calculated values
Fermi-level density of states: 8.0 states/eV/cell
crystal system: monoclinic

a b c (Å): 4.029 5.268 7.335
angles (deg): 90.00 90.04 94.41
Each line ends with the local moment (μB).
Fractional coordinates of all 12 atoms:
Dy 0.500 0.500 0.752  -0.01
O 0.566 0.782 0.000  0.29
Sb 0.000 0.000 0.000  -0.02
O 0.043 0.758 0.219  0.16
O 0.957 0.242 0.781  0.16
O 0.957 0.242 0.219  0.16
O 0.043 0.758 0.781  0.16
O 0.491 0.249 0.500  0.07
O 0.509 0.751 0.500  0.07
Dy 0.500 0.500 0.248  -0.01
Y 0.000 0.000 0.500  -0.01
O 0.434 0.218 0.000  0.29

no.,E_form (uncorrected) (eV/atom)
1,1.016
2,-2.472